No. 1
First-principles (PBE-GGA) data for an optimized crystal structure of ZnTcW2, as listed in Alexandria via LeMat-Bulk.

Calculated values
ΔE_f, eV per formula unit: 0.72
Symmetry: Immm, No. 71

Cell lengths 5.198, 5.198, 4.360 Å; angles 65.22, 65.22, 35.48 degrees
Fractional coordinates of all 4 atoms:
Tc (0.250, 0.250, 0.250)
W (0.988, 0.988, 0.012)
W (0.512, 0.512, 0.488)
Zn (0.750, 0.750, 0.750)

---

No. 2
First-principles (PBE-GGA) data for an optimized crystal structure of ZnTc2W, as listed in Alexandria via LeMat-Bulk.

Calculated values
ΔE_f, eV per formula unit: 0.62
Symmetry: R-3m, No. 166

Cell lengths 9.027, 9.027, 9.027 Å; angles 17.85, 17.85, 17.85 degrees
Fractional coordinates of all 4 atoms:
Tc (0.000, 0.000, 0.000)
Tc (0.500, 0.500, 0.500)
W (0.750, 0.750, 0.750)
Zn (0.250, 0.250, 0.250)